No. 1
Below is crystalline PrHo5Cd2 at its relaxed geometry, with properties calculated at the GGA-PBE level.

Unit cell a=3.6002 b=8.3929 c=8.3929 alpha=76.60 beta=77.62 gamma=77.62
Fractional positions:
1 Pr 0.0000 0.0000 0.0000
2 Ho 0.0000 0.5000 0.5000
3 Ho 0.6348 0.5902 0.1403
4 Ho 0.3652 0.4098 0.8597
5 Ho 0.3652 0.8597 0.4098
6 Ho 0.6348 0.1403 0.5902
7 Cd 0.7425 0.7575 0.7575
8 Cd 0.2575 0.2425 0.2425

Values from the calculation:
DOS(E_F) (states/eV/f.u.): 10.115
Total moment (Bohr magnetons per cell): 0.00
Space group: Immm, No. 71
Raw total energy (eV/atom): -3.77
Formation enthalpy at 0 K (eV per atom): -0.083

No. 2
Below is crystalline Pr2HoCd at its relaxed geometry, with properties calculated at the GGA-PBE level.

Unit cell a=5.5889 b=5.5889 c=5.5889 alpha=60.00 beta=60.00 gamma=60.00
Fractional positions:
1 Pr 0.2500 0.2500 0.2500
2 Pr 0.7500 0.7500 0.7500
3 Ho 0.0000 0.0000 0.0000
4 Cd 0.5000 0.5000 0.5000

Values from the calculation:
Offset from the most stable computed form (kJ per mole of atoms): 9.7
DOS(E_F) (states/eV/f.u.): 5.571
Total moment (Bohr magnetons per cell): 0.00
Space group: Fm-3m, No. 225
Raw total energy (eV/atom): -3.81
Formation enthalpy at 0 K (eV per atom): -0.050